# Li2SmTh2Sn2, optimized geometry, DFT GGA-PBE
data_Li2SmTh2Sn2
_chemical_formula_sum 'Li2 Sm1 Th2 Sn2'
_cell_length_a 4.823
_cell_length_b 4.823
_cell_length_c 9.559
_cell_angle_alpha 75.39
_cell_angle_beta 75.39
_cell_angle_gamma 60.00
_space_group_name_H-M_alt 'P 1'
_space_group_IT_number 1
_space_group_name_Hall 'P 1'
loop_
_atom_site_label
_atom_site_fract_x
_atom_site_fract_y
_atom_site_fract_z
Li1 0.598 0.598 0.206
Li2 0.402 0.402 0.794
Sm1 0.000 0.000 0.000
Th1 0.131 0.131 0.607
Th2 0.869 0.869 0.393
Sn1 0.734 0.734 0.797
Sn2 0.266 0.266 0.203
# DFT formation energy = -0.291 eV/atom
# Electronic total energy = -4.78 eV per atom
# Size of the total moment = 0.0 μB/f.u.
# SG = R-3m, No. 166
# Theoretical density = 7.804 g cm⁻³